## one
Compound: Gd2ScGa
Source: Alexandria via LeMat-Bulk
Functional: PBE-GGA
Structure: optimized geometry

Cell lengths 5.239, 5.239, 5.239 Å; angles 60.00, 60.00, 60.00 degrees
Element x y z (fractional)
Gd 0.250 0.250 0.250
Gd 0.750 0.750 0.750
Sc 0.000 0.000 0.000
Ga 0.500 0.500 0.500

- space-group type = Fm-3m, No. 225

***

## two
Compound: Gd2ScGa
Source: Alexandria via LeMat-Bulk
Functional: PBE-GGA
Structure: optimized geometry

Cell lengths 3.939, 3.939, 6.636 Å; angles 90.00, 90.00, 90.00 degrees
Element x y z (fractional)
Gd 0.000 0.000 0.234
Gd 0.000 0.000 0.766
Sc 0.500 0.500 0.500
Ga 0.500 0.500 0.000

- space-group type = P4/mmm, No. 123

***

two wins, 69 meV/atom ahead of the next structure.

***

## one
Compound: GdGa2Si
Source: Alexandria via LeMat-Bulk
Functional: PBE-GGA
Structure: optimized geometry

Cell lengths 4.191, 4.191, 4.381 Å; angles 90.00, 90.00, 90.00 degrees
Element x y z (fractional)
Gd 0.000 0.000 0.000
Ga 0.000 0.500 0.500
Ga 0.500 0.000 0.500
Si 0.500 0.500 0.000

- space-group type = P4/mmm, No. 123

***

## two
Compound: GdGa2Si
Source: Alexandria via LeMat-Bulk
Functional: PBE-GGA
Structure: optimized geometry

Cell lengths 5.625, 5.625, 5.625 Å; angles 45.14, 45.14, 45.14 degrees
Element x y z (fractional)
Gd 0.000 0.000 0.000
Ga 0.218 0.218 0.218
Ga 0.782 0.782 0.782
Si 0.500 0.500 0.500

- space-group type = R-3m, No. 166

***

one wins, 158 meV/atom ahead of the next structure.